Density functional theory data (PBE) for an optimized crystal structure of Lu4NiPC2.

Results
M_tot = 0.1 μB/cell
Calculated total energy = -0.475 Ry/atom

Unit cell a=3.5407 b=3.5407 c=13.0824 alpha=90.00 beta=90.00 gamma=120.00
Space group P-6m2 (No. 187)
Inequivalent atoms, fractional coordinates:
Lu 0.0000 0.0000 0.1487 [2 per cell]
Lu 0.3333 0.6667 0.3502 [2 per cell]
Ni 0.0000 0.0000 0.5000 [1 per cell]
P 0.3333 0.6667 0.0000 [1 per cell]
C 0.6667 0.3333 0.2514 [2 per cell]

Density functional theory data (PBE) for an optimized crystal structure of Y2ErAl3CuSn2.

Results
M_tot = 0.0 μB/cell
Calculated total energy = -0.371 Ry/atom

Unit cell a=4.273 b=12.602 c=7.302 alpha=90.00 beta=90.00 gamma=90.00
Space group Amm2 (No. 38)
Inequivalent atoms, fractional coordinates:
Y 0.000 0.194 0.000 [4 per cell]
Er 0.000 0.000 0.581 [2 per cell]
Al 0.500 0.000 0.972 [2 per cell]
Al 0.500 0.112 0.306 [4 per cell]
Cu 0.000 0.000 0.198 [2 per cell]
Sn 0.500 0.165 0.694 [4 per cell]

Density functional theory data (PBE) for an optimized crystal structure of HfGaOs2.

Results
M_tot = 0.3 μB/cell
Calculated total energy = -0.642 Ry/atom

Unit cell a=6.353 b=6.353 c=6.353 alpha=90.00 beta=90.00 gamma=90.00
Space group F-43m (No. 216)
Inequivalent atoms, fractional coordinates:
Hf 0.000 0.000 0.000 [4 per cell]
Ga 0.250 0.250 0.750 [4 per cell]
Os 0.000 0.000 0.500 [4 per cell]
Os 0.250 0.250 0.250 [4 per cell]

Density functional theory data (PBE) for an optimized crystal structure of SnGeAu.

Results
Energy above the lowest structure with this stoichiometry = 0 meV per atom
Calculated total energy = -0.291 Ry/atom

Unit cell a=6.570 b=6.570 c=6.570 alpha=90.00 beta=90.00 gamma=90.00
Space group F-43m (No. 216)
Inequivalent atoms, fractional coordinates:
Sn 0.000 0.000 0.000 [4 per cell]
Ge 0.000 0.000 0.500 [4 per cell]
Au 0.250 0.250 0.750 [4 per cell]

Density functional theory data (PBE) for an optimized crystal structure of Tm3Mg3HgPd2.

Results
M_tot = 0.0 μB/cell
Calculated total energy = -0.276 Ry/atom

Unit cell a=7.4679 b=7.4679 c=4.0999 alpha=90.00 beta=90.00 gamma=120.00
Space group P-62m (No. 189)
Inequivalent atoms, fractional coordinates:
Tm 0.0000 0.5822 0.0000 [3 per cell]
Mg 0.0000 0.2580 0.5000 [3 per cell]
Hg 0.0000 0.0000 0.0000 [1 per cell]
Pd 0.3333 0.6667 0.5000 [2 per cell]

Density functional theory data (PBE) for an optimized crystal structure of BeHgB4.

Results
Energy above the lowest structure with this stoichiometry = 0 meV per atom
Calculated total energy = -0.352 Ry/atom

Unit cell a=2.9929 b=2.9929 c=8.2599 alpha=90.00 beta=90.00 gamma=120.00
Space group P6/mmm (No. 191)
Inequivalent atoms, fractional coordinates:
Be 0.0000 0.0000 0.0000 [1 per cell]
Hg 0.0000 0.0000 0.5000 [1 per cell]
B 0.3333 0.6667 0.1479 [4 per cell]

Density functional theory data (PBE) for an optimized crystal structure of AcNdPu.

Results
M_tot = 25.4 μB/cell
Formation energy = 0.762 eV per atom
Energy above the lowest structure with this stoichiometry = 0 meV per atom
Calculated total energy = -0.507 Ry/atom

Unit cell a=7.630 b=7.630 c=7.630 alpha=90.00 beta=90.00 gamma=90.00
Space group F-43m (No. 216)
Inequivalent atoms, fractional coordinates:
Ac 0.000 0.000 0.000 [4 per cell]
Nd 0.000 0.000 0.500 [4 per cell]
Pu 0.250 0.250 0.250 [4 per cell]

Density functional theory data (PBE) for an optimized crystal structure of SrMgBAu.

Results
Energy above the lowest structure with this stoichiometry = 0 meV per atom
Calculated total energy = -0.221 Ry/atom

Unit cell a=6.911 b=6.911 c=6.911 alpha=90.00 beta=90.00 gamma=90.00
Space group F-43m (No. 216)
Inequivalent atoms, fractional coordinates:
Sr 0.000 0.000 0.000 [4 per cell]
Mg 0.000 0.000 0.500 [4 per cell]
B 0.250 0.250 0.750 [4 per cell]
Au 0.250 0.250 0.250 [4 per cell]